Entry from Alexandria via LeMat-Bulk: a relaxed Ni2GeBiO6 crystal (PBE+U).

The density of states at the Fermi level is 4.45 states/eV/f.u. The value obtained for the total energy is -5.51 eV per atom. The value obtained for the total magnetic moment is 13.34 Bohr magnetons per cell.

The structure belongs to space group R3 (No. 146, hexagonal axes); the cell edges are 5.2700, 5.2700 and 14.1881 Å and the angles 90.00°, 90.00° and 120.00°. The inequivalent atoms are Ni at (0.0000, 0.0000, 0.0000), Ni at (0.0000, 0.0000, 0.4921), Ge at (0.0000, 0.0000, 0.6977), Bi at (0.0000, 0.0000, 0.2079), O at (0.0007, 0.3526, 0.4246) and O at (0.0272, 0.7342, 0.6026).